[1]
# Hf3GePb

Hf3GePb after structural relaxation (PBEsol, Alexandria).

Summary:
N(E_F) (states/eV/f.u.): 6.771
Calculated formation energy (eV/atom): 1.46

a b c (Å): 5.2276 5.2276 5.2276
angles (deg): 90.00 90.00 90.00
Fractional positions:
Hf1 0.0000 0.0000 0.5000
Hf2 0.0000 0.5000 0.0000
Hf3 0.5000 0.0000 0.0000
Ge1 0.5000 0.5000 0.5000
Pb1 0.0000 0.0000 0.0000

[2]
# AsP2PtCl

AsP2PtCl after structural relaxation (PBEsol, Alexandria).

Summary:
N(E_F) (states/eV/f.u.): 3.763
Raw formation energy (eV per atom): 1.12

a b c (Å): 4.6900 4.6900 4.4431
angles (deg): 90.00 90.00 90.00
Fractional positions:
As1 0.0000 0.0000 0.0000
P1 0.0000 0.5000 0.0000
P2 0.5000 0.0000 0.0000
Pt1 0.5000 0.5000 0.5000
Cl1 0.0000 0.0000 0.5000

Total magnetization for every record listed, in sequence, given in Bohr magnetons per cell: 0.0, 0.0.